Density functional theory data (meta-GGA SCAN) for a crystal of Ta2ReBr relaxed with PBEsol.

Geometry as CIF:
```
data_Ta2ReBr
_symmetry_space_group_name_H-M 'F -4 3 m'
_symmetry_Int_Tables_number 216
_symmetry_space_group_name_Hall 'F -4 2 3'
_cell_length_a 6.471
_cell_length_b 6.471
_cell_length_c 6.471
_cell_angle_alpha 90.00
_cell_angle_beta 90.00
_cell_angle_gamma 90.00
loop_
_atom_site_label
_atom_site_fract_x
_atom_site_fract_y
_atom_site_fract_z
Ta1 0.000 0.000 0.000
Ta2 0.250 0.250 0.250
Re1 0.000 0.000 0.500
Br1 0.250 0.250 0.750
```

Properties
- Offset from the most stable computed form: 504.5 meV per atom
- Formation energy without anion corrections: 4.254 eV per formula unit
- N(E_F): 1.120 states/eV per atom

=====

Density functional theory data (meta-GGA SCAN) for a crystal of CuI relaxed with PBEsol.

Geometry as CIF:
```
data_CuI
_symmetry_space_group_name_H-M 'F m -3 m'
_symmetry_Int_Tables_number 225
_symmetry_space_group_name_Hall '-F 4 2 3'
_cell_length_a 5.579
_cell_length_b 5.579
_cell_length_c 5.579
_cell_angle_alpha 90.00
_cell_angle_beta 90.00
_cell_angle_gamma 90.00
loop_
_atom_site_label
_atom_site_fract_x
_atom_site_fract_y
_atom_site_fract_z
Cu1 0.000 0.000 0.000
I1 0.000 0.000 0.500
```

Properties
- Formation energy without anion corrections: 0.263 eV per formula unit
- N(E_F): 0.368 states/eV per atom

=====

Density functional theory data (meta-GGA SCAN) for a crystal of MnHF2 relaxed with PBEsol.

Geometry as CIF:
```
data_MnHF2
_symmetry_space_group_name_H-M 'F m -3 m'
_symmetry_Int_Tables_number 225
_symmetry_space_group_name_Hall '-F 4 2 3'
_cell_length_a 5.283
_cell_length_b 5.283
_cell_length_c 5.283
_cell_angle_alpha 90.00
_cell_angle_beta 90.00
_cell_angle_gamma 90.00
loop_
_atom_site_label
_atom_site_fract_x
_atom_site_fract_y
_atom_site_fract_z
Mn1 0.000 0.000 0.000
H1 0.000 0.000 0.500
F1 0.250 0.250 0.250
```

=====

Density functional theory data (meta-GGA SCAN) for a crystal of Al2AuBr relaxed with PBEsol.

Geometry as CIF:
```
data_Al2AuBr
_symmetry_space_group_name_H-M 'I -4 m 2'
_symmetry_Int_Tables_number 119
_symmetry_space_group_name_Hall 'I -4 -2'
_cell_length_a 3.847
_cell_length_b 3.847
_cell_length_c 11.259
_cell_angle_alpha 90.00
_cell_angle_beta 90.00
_cell_angle_gamma 90.00
loop_
_atom_site_label
_atom_site_fract_x
_atom_site_fract_y
_atom_site_fract_z
Al1 0.000 0.000 0.000
Al2 0.000 0.500 0.250
Au1 0.000 0.000 0.500
Br1 0.000 0.500 0.750
```

Properties
- Offset from the most stable computed form: 328.0 meV per atom
- Formation energy without anion corrections: 0.443 eV per formula unit
- N(E_F): 0.259 states/eV per atom

=====

Density functional theory data (meta-GGA SCAN) for a crystal of SnWSN2 relaxed with PBEsol.

Geometry as CIF:
```
data_SnWSN2
_symmetry_space_group_name_H-M 'P 4/m m m'
_symmetry_Int_Tables_number 123
_symmetry_space_group_name_Hall '-P 4 2'
_cell_length_a 3.955
_cell_length_b 3.955
_cell_length_c 4.862
_cell_angle_alpha 90.00
_cell_angle_beta 90.00
_cell_angle_gamma 90.00
loop_
_atom_site_label
_atom_site_fract_x
_atom_site_fract_y
_atom_site_fract_z
Sn1 0.000 0.000 0.000
W1 0.500 0.500 0.500
S1 0.500 0.500 0.000
N1 0.000 0.500 0.500
```

Properties
- Formation energy without anion corrections: 0.855 eV per formula unit
- N(E_F): 0.211 states/eV per atom

=====

Density functional theory data (meta-GGA SCAN) for a crystal of ScTl2Hg relaxed with PBEsol.

Geometry as CIF:
```
data_ScTl2Hg
_symmetry_space_group_name_H-M 'P 4/m m m'
_symmetry_Int_Tables_number 123
_symmetry_space_group_name_Hall '-P 4 2'
_cell_length_a 4.547
_cell_length_b 4.547
_cell_length_c 4.380
_cell_angle_alpha 90.00
_cell_angle_beta 90.00
_cell_angle_gamma 90.00
loop_
_atom_site_label
_atom_site_fract_x
_atom_site_fract_y
_atom_site_fract_z
Sc1 0.000 0.000 0.000
Tl1 0.000 0.500 0.500
Hg1 0.500 0.500 0.000
```

Properties
- Energy of formation from the pure elements: -0.24 eV per atom
- N(E_F): 0.467 states/eV per atom

=====

Computed values of volume (unit: Å³ per cell) for the preceding records, in sequence: 271 174 147 167 76 91.
Computed values of raw total energy (unit: eV per atom) for the preceding records, in sequence: -54.87 -25.84 -8.66 -25.92 -26.59 -57.02.